Compound: YMoAs
Source: Alexandria
Functional: meta-GGA SCAN
Structure: PBEsol geometry

Lattice parameters (Å, degrees): 4.650 4.650 4.650 60.00 60.00 60.00
Each line ends with the local moment (μB).
Fractional positions:
As 0.000 0.000 0.000  -0.06
Mo 0.500 0.500 0.500  3.40
Y 0.250 0.250 0.250  0.56

Output
DFT formation energy: 18.33 kcal/mol of atoms
symmetry: No. 216
calculated volume: 71.1 Å³ per cell